(1)
Density functional theory data (PBE) for a geometry-optimized ZnSN3 structure.

Cell lengths 3.920, 3.920, 3.920 Å; angles 90.00, 90.00, 90.00 degrees
Site moments in Bohr magnetons follow the coordinates.
Fractional coordinates of all 5 atoms:
N1 0.500 0.000 0.000  0.90
N2 0.000 0.500 0.000  1.00
N3 0.000 0.000 0.500  0.87
Zn1 0.000 0.000 0.000  0.07
S1 0.500 0.500 0.500  -0.22

uncorrected formation energy	2.510	eV per atom
crystal system	cubic
total moment	0.718	μB per atom


(2)
Density functional theory data (PBE) for a geometry-optimized TiMo4Os2 structure.

Cell lengths 4.448, 4.448, 7.146 Å; angles 71.86, 71.86, 90.00 degrees
Fractional coordinates of all 7 atoms:
Mo1 0.000 0.500 0.000
Mo2 0.808 0.808 0.384
Mo3 0.500 0.000 0.000
Mo4 0.192 0.192 0.616
Os1 0.625 0.625 0.750
Os2 0.375 0.375 0.250
Ti1 0.000 0.000 0.000

crystal system	tetragonal
total moment	0.001	μB per atom
E_tot	-63.99	eV/cell